Density functional theory data (PBE-GGA) for a relaxed Tb3Pm2PrSe6 crystal.

Properties
V (Å³ per atom): 25.40
Uncorrected formation energy (eV per atom): -1.810
Total energy (eV per atom): -5.90

Cell: 7.1768 7.1768 7.2611 Å, 99.46 99.46 120.30°
Last column: nearest neighbours and their distance in Å.
Positions (direct):
1 Tb 0.0000 0.0000 0.0000  6 Se 2.88-2.91
2 Tb 0.3355 0.6645 0.0000  6 Se 2.89-2.90
3 Tb 0.6645 0.3355 0.0000  6 Se 2.89-2.90
4 Pm 0.1664 0.8336 0.5000  6 Se 2.97-2.98
5 Pm 0.8336 0.1664 0.5000  6 Se 2.97-2.98
6 Pr 0.5000 0.5000 0.5000  6 Se 3.00-3.01
7 Se 0.0757 0.4127 0.2381  3 Tb 2.89-2.91, 2 Pm 2.97-2.98, 1 Pr 3.01
8 Se 0.2500 0.2500 0.7602  3 Tb 2.88-2.89, 2 Pm 2.97, 1 Pr 3.00
9 Se 0.4127 0.0757 0.2381  3 Tb 2.89-2.91, 2 Pm 2.97-2.98, 1 Pr 3.01
10 Se 0.5873 0.9243 0.7619  3 Tb 2.89-2.91, 2 Pm 2.97-2.98, 1 Pr 3.01
11 Se 0.7500 0.7500 0.2398  3 Tb 2.88-2.89, 2 Pm 2.97, 1 Pr 3.00
12 Se 0.9243 0.5873 0.7619  3 Tb 2.89-2.91, 2 Pm 2.97-2.98, 1 Pr 3.01

Density functional theory data (PBE-GGA) for a relaxed K2YTlCl6 crystal.

Properties
V (Å³ per atom): 32.99
Uncorrected formation energy (eV per atom): -1.940
Total energy (eV per atom): -4.15

Cell: 7.5278 8.0467 13.1536 Å, 90.00 124.09 90.00°
Last column: nearest neighbours and their distance in Å.
Positions (direct):
1 K 0.2157 0.0774 0.2453  6 Cl 3.18-3.48
2 K 0.2157 0.4226 0.7453  6 Cl 3.18-3.48
3 K 0.7843 0.5774 0.2547  6 Cl 3.18-3.48
4 K 0.7843 0.9226 0.7547  6 Cl 3.18-3.48
5 Y 0.5000 0.0000 0.0000  6 Cl 2.65-2.67
6 Y 0.5000 0.5000 0.5000  6 Cl 2.65-2.67
7 Tl 0.0000 0.0000 0.5000  6 Cl 3.15-3.24
8 Tl 0.0000 0.5000 0.0000  6 Cl 3.15-3.24
9 Cl 0.1545 0.1732 0.9397  1 Y 2.65
10 Cl 0.1545 0.3268 0.4397  1 Y 2.65
11 Cl 0.2619 0.7242 0.9218  1 Y 2.67
12 Cl 0.2619 0.7758 0.4218  1 Y 2.67
13 Cl 0.4102 0.0583 0.7765  1 Y 2.66
14 Cl 0.4102 0.4417 0.2765  1 Y 2.66
15 Cl 0.5898 0.5583 0.7235  1 Y 2.66
16 Cl 0.5898 0.9417 0.2235  1 Y 2.66
17 Cl 0.7381 0.2242 0.5782  1 Y 2.67
18 Cl 0.7381 0.2758 0.0782  1 Y 2.67
19 Cl 0.8455 0.6732 0.5603  1 Y 2.65
20 Cl 0.8455 0.8268 0.0603  1 Y 2.65